Entry 1:
{"formula": "InCo3Rh", "functional": "meta-GGA SCAN", "state": "PBEsol geometry", "lattice_angstrom": [[4.492, 0.000, 0.000], [0.000, 4.492, 0.000], [0.000, 0.000, 4.492]], "species": ["In", "Co", "Co", "Co", "Rh"], "frac_coords": [[0.000, 0.000, 0.000], [0.000, 0.000, 0.500], [0.000, 0.500, 0.000], [0.500, 0.000, 0.000], [0.500, 0.500, 0.500]], "crystal_system": "cubic", "total_energy_ev_per_atom": -21.98, "volume_a3_per_cell": 90.65}

=====

Entry 2:
{"formula": "InCoRh2", "functional": "meta-GGA SCAN", "state": "PBEsol geometry", "lattice_angstrom": [[3.992, 0.000, 0.000], [0.000, 3.992, 0.000], [0.000, 0.000, 7.137]], "species": ["In", "In", "Co", "Co", "Rh", "Rh", "Rh", "Rh"], "frac_coords": [[0.000, 0.000, 0.000], [0.500, 0.500, 0.500], [0.000, 0.000, 0.500], [0.500, 0.500, 0.000], [0.000, 0.500, 0.250], [0.000, 0.500, 0.750], [0.500, 0.000, 0.250], [0.500, 0.000, 0.750]], "crystal_system": "tetragonal", "total_energy_ev_per_atom": -29.69, "volume_a3_per_cell": 113.76}

=====

Entry 3:
{"formula": "In2Co3S2", "functional": "meta-GGA SCAN", "state": "PBEsol geometry", "lattice_angstrom": [[2.615, 1.510, 4.454], [-2.615, 1.510, 4.454], [0.000, -3.020, 4.454]], "species": ["In", "In", "Co", "Co", "Co", "S", "S"], "frac_coords": [[0.000, 0.000, 0.000], [0.500, 0.500, 0.500], [0.000, 0.500, 0.500], [0.500, 0.000, 0.500], [0.500, 0.500, 0.000], [0.221, 0.221, 0.221], [0.779, 0.779, 0.779]], "formation_energy_uncorrected_ev_per_atom": -0.280, "crystal_system": "trigonal", "volume_a3_per_cell": 105.51}

=====

Entry 4:
{"formula": "InCoS2", "functional": "meta-GGA SCAN", "state": "PBEsol geometry", "lattice_angstrom": [[3.747, 0.000, 0.000], [-1.874, 3.245, 0.000], [0.000, 0.000, 21.315]], "species": ["In", "In", "In", "Co", "Co", "Co", "S", "S", "S", "S", "S", "S"], "frac_coords": [[0.000, 0.000, 0.000], [0.333, 0.667, 0.667], [0.667, 0.333, 0.333], [0.000, 0.000, 0.500], [0.333, 0.667, 0.167], [0.667, 0.333, 0.833], [0.000, 0.000, 0.401], [0.000, 0.000, 0.599], [0.333, 0.667, 0.068], [0.333, 0.667, 0.265], [0.667, 0.333, 0.735], [0.667, 0.333, 0.932]], "formation_energy_uncorrected_ev_per_atom": -0.277, "crystal_system": "trigonal", "volume_a3_per_cell": 259.20}

=====

Entry 5:
{"formula": "TaIn2CoS", "functional": "meta-GGA SCAN", "state": "PBEsol geometry", "lattice_angstrom": [[5.020, 0.000, 0.000], [0.000, 5.020, 0.000], [0.000, 0.000, 3.918]], "species": ["Ta", "In", "In", "Co", "S"], "frac_coords": [[0.000, 0.000, 0.000], [0.000, 0.500, 0.500], [0.500, 0.000, 0.500], [0.500, 0.500, 0.500], [0.500, 0.500, 0.000]], "formation_energy_uncorrected_ev_per_atom": 0.858, "crystal_system": "tetragonal", "volume_a3_per_cell": 98.74}

=====

Entry 6:
{"formula": "InCo2Sb", "functional": "meta-GGA SCAN", "state": "PBEsol geometry", "lattice_angstrom": [[6.777, 0.000, 0.000], [0.000, 6.777, 0.000], [0.000, 0.000, 5.870]], "species": ["In", "In", "In", "In", "Co", "Co", "Co", "Co", "Co", "Co", "Co", "Co", "Sb", "Sb", "Sb", "Sb"], "frac_coords": [[0.000, 0.000, 0.000], [0.000, 0.500, 0.250], [0.500, 0.000, 0.750], [0.500, 0.500, 0.500], [0.230, 0.750, 0.625], [0.250, 0.230, 0.375], [0.250, 0.270, 0.875], [0.270, 0.750, 0.125], [0.730, 0.250, 0.125], [0.750, 0.730, 0.875], [0.750, 0.770, 0.375], [0.770, 0.250, 0.625], [0.000, 0.000, 0.500], [0.000, 0.500, 0.750], [0.500, 0.000, 0.250], [0.500, 0.500, 0.000]], "formation_energy_uncorrected_ev_per_atom": 0.701, "crystal_system": "tetragonal", "volume_a3_per_cell": 269.63}

=====

Entry 7:
{"formula": "InCo16Sb48", "functional": "meta-GGA SCAN", "state": "PBEsol geometry", "lattice_angstrom": [[6.365, -4.502, 0.000], [6.365, 4.502, 0.000], [-0.001, 0.000, 25.449]], "species": ["In", "Co", "Co", "Co", "Co", "Co", "Co", "Co", "Co", "Co", "Co", "Co", "Co", "Co", "Co", "Co", "Co", "Sb", "Sb", "Sb", "Sb", "Sb", "Sb", "Sb", "Sb", "Sb", "Sb", "Sb", "Sb", "Sb", "Sb", "Sb", "Sb", "Sb", "Sb", "Sb", "Sb", "Sb", "Sb", "Sb", "Sb", "Sb", "Sb", "Sb", "Sb", "Sb", "Sb", "Sb", "Sb", "Sb", "Sb", "Sb", "Sb", "Sb", "Sb", "Sb", "Sb", "Sb", "Sb", "Sb", "Sb", "Sb", "Sb", "Sb", "Sb"], "frac_coords": [[0.000, 0.000, 0.000], [0.000, 0.500, 0.000], [0.000, 0.500, 0.251], [0.000, 0.500, 0.500], [0.000, 0.500, 0.749], [0.250, 0.750, 0.126], [0.250, 0.750, 0.375], [0.250, 0.750, 0.625], [0.250, 0.750, 0.874], [0.500, 0.000, 0.000], [0.500, 0.000, 0.251], [0.500, 0.000, 0.500], [0.500, 0.000, 0.749], [0.750, 0.250, 0.126], [0.750, 0.250, 0.375], [0.750, 0.250, 0.625], [0.750, 0.250, 0.874], [0.006, 0.326, 0.417], [0.007, 0.330, 0.915], [0.086, 0.086, 0.623], [0.086, 0.753, 0.211], [0.087, 0.753, 0.709], [0.088, 0.088, 0.125], [0.173, 0.494, 0.334], [0.175, 0.495, 0.832], [0.246, 0.246, 0.543], [0.247, 0.913, 0.291], [0.247, 0.914, 0.789], [0.249, 0.249, 0.044], [0.253, 0.253, 0.706], [0.253, 0.586, 0.959], [0.253, 0.587, 0.460], [0.255, 0.255, 0.208], [0.326, 0.006, 0.417], [0.330, 0.007, 0.915], [0.413, 0.747, 0.540], [0.414, 0.414, 0.626], [0.414, 0.747, 0.041], [0.415, 0.415, 0.128], [0.494, 0.173, 0.334], [0.495, 0.175, 0.832], [0.505, 0.825, 0.168], [0.506, 0.827, 0.666], [0.585, 0.585, 0.872], [0.586, 0.253, 0.959], [0.586, 0.586, 0.374], [0.587, 0.253, 0.460], [0.670, 0.993, 0.085], [0.674, 0.994, 0.583], [0.745, 0.745, 0.792], [0.747, 0.413, 0.540], [0.747, 0.414, 0.041], [0.747, 0.747, 0.294], [0.751, 0.751, 0.956], [0.753, 0.086, 0.211], [0.753, 0.087, 0.709], [0.754, 0.754, 0.457], [0.825, 0.505, 0.168], [0.827, 0.506, 0.666], [0.912, 0.912, 0.875], [0.913, 0.247, 0.291], [0.914, 0.247, 0.789], [0.914, 0.914, 0.377], [0.993, 0.670, 0.085], [0.994, 0.674, 0.583]], "formation_energy_uncorrected_ev_per_atom": -0.155, "crystal_system": "monoclinic", "volume_a3_per_cell": 1458.54}

=====

Entry 8:
{"formula": "ScInCo2", "functional": "meta-GGA SCAN", "state": "PBEsol geometry", "lattice_angstrom": [[4.204, 0.000, 0.000], [0.000, 4.204, 0.000], [0.000, 0.000, 3.230]], "species": ["Sc", "In", "Co", "Co"], "frac_coords": [[0.000, 0.000, 0.000], [0.500, 0.500, 0.000], [0.000, 0.500, 0.500], [0.500, 0.000, 0.500]], "crystal_system": "tetragonal", "total_energy_ev_per_atom": -20.67, "volume_a3_per_cell": 57.08}